A relaxed NaBe2I crystal. Source: Alexandria, functional PBE.

abc: 8.1248 8.1248 6.3495
angles: 50.22 50.22 90.00
Fractional positions:
Be  0.6572  0.1250  0.2500
Na  0.5000  0.5000  0.0000
Be  0.0928  0.6250  0.2500
Na  0.2500  0.7500  0.5000
I  0.0000  0.0000  0.0000
I  0.7500  0.2500  0.5000
Be  0.8750  0.9072  0.7500
Be  0.3750  0.3428  0.7500

ΔE_f (raw) in eV/atom: 0.725
DOS(E_F) in states/eV per cell: 0.00